## Dy5Er4Sc2 (PBE-GGA)

Data for a relaxed Dy5Er4Sc2 crystal.

Cell and atoms, written as POSCAR:
```
Dy5Er4Sc2
1.0
-2.4644 0.1604 2.4225
-5.1826 -4.3476 -4.9842
9.6853 -6.1308 7.7887
Dy Er Sc
5 4 2
Direct
0.1824 0.8880 0.3649
0.8176 0.1120 0.6351
0.1295 0.2192 0.2589
0.5000 0.0000 0.0000
0.8705 0.7808 0.7411
0.7247 0.6227 0.4494
0.0382 0.7293 0.0764
0.2753 0.3773 0.5506
0.9618 0.2707 0.9236
0.5875 0.4812 0.1751
0.4125 0.5188 0.8249
```

Properties
E_form = 0.108 eV/atom
DFT total energy = -0.35238 Ry/atom
Energy relative to the lowest polymorph listed for this composition = 0.018 eV per atom
Magnetization = 0.00 μB/f.u.

=====

## AlInAgPd (PBE-GGA)

Data for a relaxed AlInAgPd crystal.

Cell and atoms, written as POSCAR:
```
AlInAgPd
1.0
4.6067 0.0000 0.0000
2.3033 3.9895 0.0000
2.3033 1.3298 3.7614
Al Pd Ag In
1 1 1 1
Direct
0.0000 0.0000 0.0000
0.7500 0.7500 0.7500
0.2500 0.2500 0.2500
0.5000 0.5000 0.5000
```

Properties
E_form = -0.256 eV/atom
DFT total energy = -0.28568 Ry/atom
Magnetization = 0.00 μB/f.u.

=====

## Ho2Al4HgAu3 (PBE-GGA)

Data for a relaxed Ho2Al4HgAu3 crystal.

Cell and atoms, written as POSCAR:
```
Ho2Al4HgAu3
1.0
4.3297 0.0000 0.0000
0.0000 4.3297 0.0000
0.0000 0.0000 10.7262
Ho Al Hg Au
2 4 1 3
Direct
0.5000 0.0000 0.2469
0.0000 0.5000 0.7531
0.5000 0.5000 0.0000
0.0000 0.0000 0.0000
0.5000 0.0000 0.6419
0.0000 0.5000 0.3581
0.5000 0.5000 0.5000
0.0000 0.0000 0.5000
0.5000 0.0000 0.8699
0.0000 0.5000 0.1301
```

Properties
E_form = -0.590 eV/atom
DFT total energy = -0.29520 Ry/atom
Magnetization = 0.00 μB/f.u.

=====

## SmThBiSb (PBE-GGA)

Data for a relaxed SmThBiSb crystal.

Cell and atoms, written as POSCAR:
```
SmThBiSb
1.0
5.5148 0.0000 0.0000
2.7574 4.7760 0.0000
2.7574 1.5920 4.5028
Sb Sm Bi Th
1 1 1 1
Direct
0.7500 0.7500 0.7500
0.0000 0.0000 0.0000
0.2500 0.2500 0.2500
0.5000 0.5000 0.5000
```

Properties
DFT total energy = -0.42159 Ry/atom
Energy relative to the lowest polymorph listed for this composition = 0.203 eV per atom
Magnetization = 0.00 μB/f.u.
Energy relative to the elements, uncorrected = -0.700 eV per atom

=====

## BaHf3Nb (PBE-GGA)

Data for a relaxed BaHf3Nb crystal.

Cell and atoms, written as POSCAR:
```
BaHf3Nb
1.0
-1.3789 -2.2470 4.4417
4.9774 -0.5742 1.2547
-0.0520 4.6152 2.3186
Nb Hf Ba
1 3 1
Direct
0.5000 0.5000 0.5000
0.0000 0.5000 0.0000
0.0000 0.0000 0.5000
0.5000 0.0000 0.0000
0.0000 0.0000 0.0000
```

Properties
E_form = 2.269 eV/atom
DFT total energy = -0.44848 Ry/atom
Energy relative to the lowest polymorph listed for this composition = 1.476 eV per atom
Magnetization = 0.77 μB/f.u.

=====

## Li2CaPbO4 (PBE-GGA)

Data for a relaxed Li2CaPbO4 crystal.

Cell and atoms, written as POSCAR:
```
Li2CaPbO4
1.0
-5.6381 -0.7659 3.1942
-1.6724 -4.7755 -4.1201
5.6757 -0.3512 3.2698
Li Ca Pb O
4 2 2 8
Direct
0.5000 0.0000 0.0000
0.5000 0.0000 0.5000
0.0000 0.0000 0.5000
0.5000 0.5000 0.0000
0.0000 0.5000 0.0000
0.0000 0.5000 0.5000
0.5000 0.5000 0.5000
0.0000 0.0000 0.0000
0.2368 0.7684 0.0006
0.7316 0.2632 0.4994
0.2684 0.7368 0.5006
0.7632 0.2316 0.9994
0.7426 0.7519 0.9925
0.7481 0.7574 0.5075
0.2519 0.2426 0.4925
0.2574 0.2481 0.0075
```

Properties
DFT total energy = -0.39942 Ry/atom
Magnetization = 0.00 μB/f.u.
Energy relative to the elements, uncorrected = -1.763 eV per atom

=====

## YTe2Cl2 (PBE-GGA)

Data for a relaxed YTe2Cl2 crystal.

Cell and atoms, written as POSCAR:
```
YTe2Cl2
1.0
-3.2396 -1.5136 1.7393
-0.9600 -1.8417 -3.3908
3.9208 -10.8178 2.4341
Y Te Cl
1 2 2
Direct
0.0000 0.0000 0.0000
0.7500 0.2500 0.5000
0.2500 0.7500 0.5000
0.4332 0.4332 0.1335
0.5668 0.5668 0.8665
```

Properties
DFT total energy = -0.29396 Ry/atom
Energy relative to the lowest polymorph listed for this composition = 0.317 eV per atom
Magnetization = 0.00 μB/f.u.
Energy relative to the elements, uncorrected = -0.711 eV per atom

=====

## Tb12Pm6Tm (PBE-GGA)

Data for a relaxed Tb12Pm6Tm crystal.

Cell and atoms, written as POSCAR:
```
Tb12Pm6Tm
1.0
-9.9775 0.1742 0.4978
3.4791 -7.6127 -5.4562
4.3432 0.6430 8.9750
Tb Pm Tm
12 6 1
Direct
0.8814 0.1186 0.5000
0.2344 0.9101 0.2344
0.2344 0.2344 0.9101
0.0899 0.7656 0.7656
0.7656 0.7656 0.0899
0.7656 0.0899 0.7656
0.5000 0.8814 0.1186
0.1186 0.5000 0.8814
0.1186 0.8814 0.5000
0.5000 0.1186 0.8814
0.8814 0.5000 0.1186
0.9101 0.2344 0.2344
0.6858 0.3791 0.6858
0.6858 0.6858 0.3791
0.3791 0.6858 0.6858
0.3142 0.3142 0.6209
0.3142 0.6209 0.3142
0.6209 0.3142 0.3142
0.0000 0.0000 0.0000
```

Properties
E_form = 0.342 eV/atom
DFT total energy = -0.31734 Ry/atom
Energy relative to the lowest polymorph listed for this composition = 0.218 eV per atom
Magnetization = 0.00 μB/f.u.

=====

## SiGeAuS (PBE-GGA)

Data for a relaxed SiGeAuS crystal.

Cell and atoms, written as POSCAR:
```
SiGeAuS
1.0
3.3948 0.0020 -0.0069
0.0067 4.8916 -0.0161
0.0205 2.1646 4.4257
Si Ge Au S
1 1 1 1
Direct
0.6131 0.7360 0.4713
0.1122 0.0162 0.7251
0.6119 0.2520 0.9861
0.1149 0.5400 0.2783
```

Properties
DFT total energy = -0.31933 Ry/atom
Energy relative to the lowest polymorph listed for this composition = 0.099 eV per atom
Magnetization = 0.00 μB/f.u.
Energy relative to the elements, uncorrected = 0.017 eV per atom

=====

## AgHPd3 (PBE-GGA)

Data for a relaxed AgHPd3 crystal.

Cell and atoms, written as POSCAR:
```
AgHPd3
1.0
-0.2393 4.8229 1.4313
-3.9341 -1.3345 3.8390
3.4372 -2.5402 2.6394
H Pd Ag
2 6 2
Direct
0.0044 0.2500 0.4199
0.9956 0.7500 0.5801
0.7491 0.9990 0.2508
0.2509 0.0010 0.7492
0.7491 0.5010 0.2508
0.2509 0.4990 0.7492
0.2579 0.2500 0.2445
0.7421 0.7500 0.7555
0.7465 0.2500 0.7556
0.2535 0.7500 0.2444
```

Properties
DFT total energy = -0.32416 Ry/atom
Energy relative to the lowest polymorph listed for this composition = 0.018 eV per atom
Magnetization = 0.00 μB/f.u.

=====

## MgFe2Ni (PBE-GGA)

Data for a relaxed MgFe2Ni crystal.

Cell and atoms, written as POSCAR:
```
MgFe2Ni
1.0
4.6889 -0.0024 -0.0080
-2.1425 4.4808 0.0046
0.4039 0.7174 2.4323
Fe Mg Ni
2 1 1
Direct
0.0000 0.0000 0.0000
0.5000 0.0000 0.5000
0.0000 0.5000 0.5000
0.5000 0.5000 0.0000
```

Properties
E_form = 0.153 eV/atom
DFT total energy = -0.43525 Ry/atom
Magnetization = 5.35 μB/f.u.

=====

## Tb5Ga2Bi (PBE-GGA)

Data for a relaxed Tb5Ga2Bi crystal.

Cell and atoms, written as POSCAR:
```
Tb5Ga2Bi
1.0
-3.7774 -2.7782 6.7710
-5.7893 -3.5275 -4.6770
8.2966 -2.2645 -1.3098
Tb Ga Bi
10 4 2
Direct
0.5115 0.7061 0.7177
0.7939 0.9885 0.2823
0.0000 0.0000 0.0000
0.5000 0.5000 0.0000
0.2061 0.0115 0.7177
0.7061 0.2061 0.7177
0.0115 0.5115 0.7177
0.2939 0.7939 0.2823
0.9885 0.4885 0.2823
0.4885 0.2939 0.2823
0.1485 0.3515 0.0000
0.6485 0.1485 0.0000
0.3515 0.8515 0.0000
0.8515 0.6485 0.0000
0.7500 0.7500 0.5000
0.2500 0.2500 0.5000
```

Properties
E_form = -0.581 eV/atom
DFT total energy = -0.34665 Ry/atom
Magnetization = 0.00 μB/f.u.